A relaxed DyZrCd2 crystal, computed with PBE.

Structure (POSCAR):
```
DyZrCd2
1.0
0.000 3.630 3.630
3.630 0.000 3.630
3.630 3.630 0.000
Dy Zr Cd
1 1 2
Cartesian
0.000 0.000 0.000
3.630 3.630 3.630
1.815 1.815 1.815
5.445 5.445 5.445
```

Calculated values
* formation enthalpy at 0 K: -0.14 eV/atom
* energy above the lowest structure with this stoichiometry: 0.10 eV/f.u.